The following is a DFT calculation (PBE) of a geometry-optimized KSrSbI6 structure.

Output
As for the space-group type: P312 (149). As for the energy relative to the elements, uncorrected: -1.04 eV/atom.

Cell and atoms, written as POSCAR:
```
KSrSbI6
1.0
8.187 0.000 0.000
-4.094 7.090 0.000
0.000 0.000 7.756
K Sr Sb I
1 1 1 6
direct
0.000 0.000 0.000 K
0.333 0.667 0.500 Sr
0.667 0.333 0.500 Sb
0.375 0.022 0.733 I
0.375 0.353 0.267 I
0.647 0.022 0.267 I
0.647 0.625 0.733 I
0.978 0.353 0.733 I
0.978 0.625 0.267 I
```

The following is a DFT calculation (PBE) of a geometry-optimized AgTe5 structure.

Output
For the offset from the most stable computed form, the calculation gives 65 meV per atom. As for the space-group type: Cm (8). As for the energy relative to the elements, uncorrected: 0.07 eV/atom.

Cell and atoms, written as POSCAR:
```
AgTe5
1.0
13.430 0.000 0.000
0.000 4.030 0.000
-5.184 0.000 8.087
Ag Te
2 10
direct
0.000 0.000 0.000 Ag
0.500 0.500 0.000 Ag
0.110 0.000 0.832 Te
0.122 0.500 0.424 Te
0.282 0.500 0.317 Te
0.415 0.000 0.114 Te
0.448 0.000 0.583 Te
0.610 0.500 0.832 Te
0.622 0.000 0.424 Te
0.782 0.000 0.317 Te
0.915 0.500 0.114 Te
0.948 0.500 0.583 Te
```

The following is a DFT calculation (PBE) of a geometry-optimized Na2ZrCd2 structure.

Output
For the offset from the most stable computed form, the calculation gives 15 meV per atom. As for the space-group type: P4/mbm (127). The calculation puts the formation energy at 6.26 kcal/mol of atoms.

Cell and atoms, written as POSCAR:
```
Na2ZrCd2
1.0
8.903 0.000 0.000
0.000 8.903 0.000
0.000 0.000 3.089
Na Zr Cd
4 2 4
direct
0.126 0.374 0.000 Na
0.374 0.874 0.000 Na
0.626 0.126 0.000 Na
0.874 0.626 0.000 Na
0.000 0.000 0.500 Zr
0.500 0.500 0.500 Zr
0.177 0.677 0.500 Cd
0.323 0.177 0.500 Cd
0.677 0.823 0.500 Cd
0.823 0.323 0.500 Cd
```

The following is a DFT calculation (PBE) of a geometry-optimized PmYAgBi structure.

Output
As for the space-group type: F-43m (216). The calculation puts the formation energy at -10.68 kcal/mol of atoms.

Cell and atoms, written as POSCAR:
```
PmYAgBi
1.0
7.584 0.000 0.000
0.000 7.584 0.000
0.000 0.000 7.584
Pm Y Ag Bi
4 4 4 4
direct
0.000 0.000 0.000 Pm
0.000 0.500 0.500 Pm
0.500 0.000 0.500 Pm
0.500 0.500 0.000 Pm
0.000 0.000 0.500 Y
0.000 0.500 0.000 Y
0.500 0.000 0.000 Y
0.500 0.500 0.500 Y
0.250 0.250 0.750 Ag
0.250 0.750 0.250 Ag
0.750 0.250 0.250 Ag
0.750 0.750 0.750 Ag
0.250 0.250 0.250 Bi
0.250 0.750 0.750 Bi
0.750 0.250 0.750 Bi
0.750 0.750 0.250 Bi
```

The following is a DFT calculation (PBE) of a geometry-optimized HfVAsI2 structure.

Output
As for the space-group type: P4/mmm (123). As for the energy relative to the elements, uncorrected: 1.13 eV/atom.

Cell and atoms, written as POSCAR:
```
HfVAsI2
1.0
5.721 0.000 0.000
0.000 5.721 0.000
0.000 0.000 4.729
Hf V As I
1 1 1 2
direct
0.000 0.000 0.000 Hf
0.500 0.500 0.000 V
0.500 0.500 0.500 As
0.000 0.500 0.500 I
0.500 0.000 0.500 I
```

The following is a DFT calculation (PBE) of a geometry-optimized NaTl2Hg10 structure.

Output
As for the space-group type: Fmmm (69). The calculation puts the formation energy at -0.14 kcal/mol of atoms.

Cell and atoms, written as POSCAR:
```
NaTl2Hg10
1.0
0.000 7.155 7.762
3.463 0.000 7.762
3.463 7.155 0.000
Na Tl Hg
1 2 10
direct
0.000 0.000 0.000 Na
0.000 0.500 0.000 Tl
0.500 0.000 0.500 Tl
0.000 0.000 0.500 Hg
0.010 0.657 0.343 Hg
0.289 0.505 0.495 Hg
0.343 0.990 0.010 Hg
0.495 0.711 0.289 Hg
0.500 0.500 0.000 Hg
0.505 0.289 0.711 Hg
0.657 0.010 0.990 Hg
0.711 0.495 0.505 Hg
0.990 0.343 0.657 Hg
```

The following is a DFT calculation (PBE) of a geometry-optimized PaInP2O8 structure.

Output
As for the space-group type: C2/m (12). As for the energy relative to the elements, uncorrected: -2.47 eV/atom.

Cell and atoms, written as POSCAR:
```
PaInP2O8
1.0
4.594 -2.798 0.000
4.594 2.798 0.000
-0.419 0.000 8.748
Pa In P O
1 1 2 8
direct
0.000 0.000 0.000 Pa
0.000 0.000 0.500 In
0.337 0.337 0.787 P
0.663 0.663 0.213 P
0.207 0.657 0.833 O
0.210 0.210 0.902 O
0.285 0.285 0.623 O
0.343 0.793 0.167 O
0.657 0.207 0.833 O
0.715 0.715 0.377 O
0.790 0.790 0.098 O
0.793 0.343 0.167 O
```

The following is a DFT calculation (PBE) of a geometry-optimized TmMg6Cd6 structure.

Output
As for the space-group type: Immm (71). The calculation puts the formation energy at -2.28 kcal/mol of atoms.

Cell and atoms, written as POSCAR:
```
TmMg6Cd6
1.0
-2.938 4.973 5.010
2.938 -4.973 5.010
2.938 4.973 -5.010
Tm Mg Cd
1 6 6
direct
0.000 0.000 0.000 Tm
0.207 0.707 0.500 Mg
0.349 0.349 0.000 Mg
0.350 0.000 0.350 Mg
0.650 0.000 0.650 Mg
0.651 0.651 0.000 Mg
0.793 0.293 0.500 Mg
0.000 0.000 0.500 Cd
0.000 0.500 0.000 Cd
0.211 0.500 0.711 Cd
0.500 0.000 0.000 Cd
0.500 0.500 0.500 Cd
0.789 0.500 0.289 Cd
```